1.
# Zn2NiPt4

An optimized crystal structure of Zn2NiPt4 (PBE, Alexandria).

Cell and atoms, written as POSCAR:
```
Zn2NiPt4
1.0
-2.2746 2.2746 6.3022
2.2746 -2.2746 6.3022
2.2746 2.2746 -6.3022
Zn Ni Pt
2 1 4
direct
0.1124 0.1124 0.0000 Zn
0.8876 0.8876 0.0000 Zn
0.5000 0.5000 0.0000 Ni
0.0000 0.5000 0.5000 Pt
0.3058 0.3058 0.0000 Pt
0.5000 0.0000 0.5000 Pt
0.6942 0.6942 0.0000 Pt
```

Computed properties:
**Calculated volume**: 18.6 Å³ per atom
**Space-group type**: I4/mmm
**Calculated formation energy**: 0.58 eV per atom
**Calculated density**: 12348 kg/m3

=====

2.
# Li6InAg2

An optimized crystal structure of Li6InAg2 (PBE, Alexandria).

Cell and atoms, written as POSCAR:
```
Li6InAg2
1.0
6.8082 -3.9260 0.0000
6.8082 3.9260 0.0000
-0.0264 0.0000 2.8698
Li In Ag
6 1 2
direct
0.1627 0.5004 0.9920 Li
0.1633 0.8367 0.0000 Li
0.5004 0.1627 0.9920 Li
0.4996 0.8373 0.0080 Li
0.8367 0.1633 0.0000 Li
0.8373 0.4996 0.0080 Li
0.5000 0.5000 0.5000 In
0.1665 0.1665 0.4997 Ag
0.8335 0.8335 0.5003 Ag
```

Computed properties:
**Calculated volume**: 17.0 Å³ per atom
**Space-group type**: C2/m
**Calculated formation energy**: -0.19 eV per atom
**Calculated density**: 4029 kg/m3

=====

3.
# UReW2

An optimized crystal structure of UReW2 (PBE, Alexandria).

Cell and atoms, written as POSCAR:
```
UReW2
1.0
4.6895 0.0000 0.0000
0.0000 4.6895 0.0000
0.0000 0.0000 3.1573
U Re W
1 1 2
direct
0.0000 0.0000 0.0000 U
0.5000 0.5000 0.0000 Re
0.0000 0.5000 0.5000 W
0.5000 0.0000 0.5000 W
```

Computed properties:
**Calculated volume**: 17.4 Å³ per atom
**Space-group type**: P4/mmm
**Calculated formation energy**: 0.30 eV per atom
**Calculated density**: 18939 kg/m3

=====

4.
# Sm2BeIr2

An optimized crystal structure of Sm2BeIr2 (PBE, Alexandria).

Cell and atoms, written as POSCAR:
```
Sm2BeIr2
1.0
5.0672 -2.7688 0.0000
5.0672 2.7688 0.0000
-1.5332 0.0000 7.1241
Sm Be Ir
4 2 4
direct
0.0159 0.2799 0.1484 Sm
0.2799 0.0159 0.6484 Sm
0.7201 0.9841 0.3516 Sm
0.9841 0.7201 0.8516 Sm
0.4129 0.5871 0.2500 Be
0.5871 0.4129 0.7500 Be
0.2444 0.5015 0.4887 Ir
0.4985 0.7556 0.0113 Ir
0.5015 0.2444 0.9887 Ir
0.7556 0.4985 0.5113 Ir
```

Computed properties:
**Calculated volume**: 20.0 Å³ per atom
**Space-group type**: C2/c
**Calculated formation energy**: -0.65 eV per atom
**Calculated density**: 11533 kg/m3